## NaMn2PbBr8 (PBE)

Data for a geometry-optimized NaMn2PbBr8 structure.

a b c (Å): 7.115 7.115 9.827
angles (deg): 90.00 90.00 120.00
Fractional positions:
Na: 0.000 0.000 0.000
Mn: 0.333 0.667 0.761
Mn: 0.667 0.333 0.239
Pb: 0.000 0.000 0.500
Br: 0.003 0.326 0.699
Br: 0.323 0.997 0.699
Br: 0.326 0.323 0.301
Br: 0.333 0.667 0.002
Br: 0.667 0.333 0.998
Br: 0.674 0.677 0.699
Br: 0.677 0.003 0.301
Br: 0.997 0.674 0.301

Calculated values
DOS at the Fermi energy in states/eV/atom: 0.77
Calculated density in g/cm³: 3.78
Total magnetization in μB per formula unit: 9.0
Uncorrected formation energy in kJ/mol of atoms: -77.4
Raw total energy in eV/atom: -3.86
Crystal system: trigonal



## NaMnPbBr6 (PBE)

Data for a geometry-optimized NaMnPbBr6 structure.

a b c (Å): 7.113 7.113 6.441
angles (deg): 90.00 90.00 120.00
Fractional positions:
Na: 0.000 0.000 0.000
Mn: 0.333 0.667 0.000
Pb: 0.667 0.333 0.500
Br: 0.040 0.371 0.233
Br: 0.040 0.669 0.767
Br: 0.331 0.371 0.767
Br: 0.331 0.960 0.233
Br: 0.629 0.669 0.233
Br: 0.629 0.960 0.767

Calculated values
DOS at the Fermi energy in states/eV/atom: 0.40
Calculated density in g/cm³: 4.50
Total magnetization in μB per formula unit: 4.0
Uncorrected formation energy in kJ/mol of atoms: -85.5
Raw total energy in eV/atom: -3.58
Crystal system: trigonal



## NaMnPbBr5 (PBE)

Data for a geometry-optimized NaMnPbBr5 structure.

a b c (Å): 7.799 7.799 10.763
angles (deg): 104.87 104.87 103.72
Fractional positions:
Na: 0.149 0.851 0.750
Na: 0.851 0.149 0.250
Mn: 0.176 0.824 0.250
Mn: 0.824 0.176 0.750
Pb: 0.500 0.500 0.000
Pb: 0.500 0.500 0.500
Br: 0.115 0.207 0.935
Br: 0.146 0.564 0.346
Br: 0.207 0.115 0.435
Br: 0.389 0.611 0.750
Br: 0.436 0.854 0.154
Br: 0.564 0.146 0.846
Br: 0.611 0.389 0.250
Br: 0.793 0.885 0.565
Br: 0.854 0.436 0.654
Br: 0.885 0.793 0.065

Calculated values
DOS at the Fermi energy in states/eV/atom: 0.00
Calculated density in g/cm³: 3.93
Total magnetization in μB per formula unit: 5.0
Uncorrected formation energy in kJ/mol of atoms: -96.4
Raw total energy in eV/atom: -3.82
Crystal system: monoclinic



## Na2MnPbBr6 (PBE)

Data for a geometry-optimized Na2MnPbBr6 structure.

a b c (Å): 7.865 7.865 7.865
angles (deg): 55.94 55.94 55.94
Fractional positions:
Na: 0.000 0.000 0.000
Na: 0.493 0.493 0.493
Mn: 0.692 0.692 0.692
Pb: 0.196 0.196 0.196
Br: 0.058 0.440 0.789
Br: 0.318 0.898 0.598
Br: 0.440 0.789 0.058
Br: 0.598 0.318 0.898
Br: 0.789 0.058 0.440
Br: 0.898 0.598 0.318

Calculated values
DOS at the Fermi energy in states/eV/atom: 0.00
Calculated density in g/cm³: 4.20
Total magnetization in μB per formula unit: 5.0
Uncorrected formation energy in kJ/mol of atoms: -107.1
Raw total energy in eV/atom: -3.67
Crystal system: trigonal



## Na2MnPbBr8 (PBE)

Data for a geometry-optimized Na2MnPbBr8 structure.

a b c (Å): 6.563 7.267 8.569
angles (deg): 90.00 89.96 75.83
Fractional positions:
Na: 0.000 0.000 0.245
Na: 0.000 0.000 0.755
Mn: 0.000 0.500 0.500
Pb: 0.000 0.500 0.000
Br: 0.215 0.732 0.500
Br: 0.234 0.313 0.297
Br: 0.234 0.313 0.703
Br: 0.260 0.786 0.000
Br: 0.740 0.214 0.000
Br: 0.766 0.687 0.297
Br: 0.766 0.687 0.703
Br: 0.785 0.268 0.500

Calculated values
DOS at the Fermi energy in states/eV/atom: 0.01
Calculated density in g/cm³: 3.97
Total magnetization in μB per formula unit: 3.0
Uncorrected formation energy in kJ/mol of atoms: -90.7
Raw total energy in eV/atom: -3.35
Crystal system: triclinic



## NaMnPb2Br8 (PBE)

Data for a geometry-optimized NaMnPb2Br8 structure.

a b c (Å): 6.607 8.663 7.105
angles (deg): 90.00 92.15 90.00
Fractional positions:
Na: 0.000 0.000 0.000
Mn: 0.000 0.500 0.000
Pb: 0.500 0.260 0.500
Pb: 0.500 0.740 0.500
Br: 0.219 0.292 0.138
Br: 0.219 0.708 0.138
Br: 0.232 0.500 0.677
Br: 0.276 0.000 0.678
Br: 0.724 0.000 0.322
Br: 0.768 0.500 0.323
Br: 0.781 0.292 0.862
Br: 0.781 0.708 0.862

Calculated values
DOS at the Fermi energy in states/eV/atom: 0.13
Calculated density in g/cm³: 4.62
Total magnetization in μB per formula unit: 4.0
Uncorrected formation energy in kJ/mol of atoms: -85.8
Raw total energy in eV/atom: -3.50
Crystal system: monoclinic



Repeat the sixth record exactly.
## NaMnPb2Br8 (PBE)

Data for a geometry-optimized NaMnPb2Br8 structure.

a b c (Å): 6.607 8.663 7.105
angles (deg): 90.00 92.15 90.00
Fractional positions:
Na: 0.000 0.000 0.000
Mn: 0.000 0.500 0.000
Pb: 0.500 0.260 0.500
Pb: 0.500 0.740 0.500
Br: 0.219 0.292 0.138
Br: 0.219 0.708 0.138
Br: 0.232 0.500 0.677
Br: 0.276 0.000 0.678
Br: 0.724 0.000 0.322
Br: 0.768 0.500 0.323
Br: 0.781 0.292 0.862
Br: 0.781 0.708 0.862

Calculated values
DOS at the Fermi energy in states/eV/atom: 0.13
Calculated density in g/cm³: 4.62
Total magnetization in μB per formula unit: 4.0
Uncorrected formation energy in kJ/mol of atoms: -85.8
Raw total energy in eV/atom: -3.50
Crystal system: monoclinic